# 1
VASP calculation (SCAN) on a PBEsol-optimized structure of Mn3TlPb.

Results
- Calculated density: 7.3 Mg/m³
- Calculated formation energy: 0.578 eV per atom
- Total DFT energy (no corrections): -40.003 eV/atom
- Total magnetic moment: 2.47 μB per atom

Structure (CIF):
```
data_Mn3TlPb
_chemical_formula_sum 'Mn3 Tl1 Pb1'
_symmetry_space_group_name_H-M 'P m -3 m'
_symmetry_Int_Tables_number 221
_symmetry_space_group_name_Hall '-P 4 2 3'
_cell_length_a 5.0726
_cell_length_b 5.0726
_cell_length_c 5.0726
_cell_angle_alpha 90.00
_cell_angle_beta 90.00
_cell_angle_gamma 90.00
loop_
_atom_site_label
_atom_site_type_symbol
_atom_site_fract_x
_atom_site_fract_y
_atom_site_fract_z
Mn1 Mn 0.0000 0.0000 0.5000
Tl1 Tl 0.5000 0.5000 0.5000
Pb1 Pb 0.0000 0.0000 0.0000
```

---

# 2
VASP calculation (SCAN) on a PBEsol-optimized structure of LiTlW2.

Results
- Calculated density: 13.9 Mg/m³
- Calculated formation energy: 0.656 eV per atom
- Total DFT energy (no corrections): -52.875 eV/atom
- Total magnetic moment: 0.00 μB per atom

Structure (CIF):
```
data_LiTlW2
_chemical_formula_sum 'Li3 Tl3 W6'
_symmetry_space_group_name_H-M 'R 3 m'
_symmetry_Int_Tables_number 160
_symmetry_space_group_name_Hall 'R 3 -2"'
_cell_length_a 2.8623
_cell_length_b 2.8623
_cell_length_c 29.3164
_cell_angle_alpha 90.00
_cell_angle_beta 90.00
_cell_angle_gamma 120.00
loop_
_atom_site_label
_atom_site_type_symbol
_atom_site_fract_x
_atom_site_fract_y
_atom_site_fract_z
Li1 Li 0.0000 0.0000 0.0000
Tl1 Tl 0.0000 0.0000 0.7502
W1 W 0.0000 0.0000 0.2516
W2 W 0.0000 0.0000 0.5053
```

---

# 3
VASP calculation (SCAN) on a PBEsol-optimized structure of Li2Ga2Pb.

Results
- Calculated density: 6.4 Mg/m³
- Calculated formation energy: -0.223 eV per atom
- Total DFT energy (no corrections): -22.874 eV/atom
- Total magnetic moment: 0.00 μB per atom

Structure (CIF):
```
data_Li2Ga2Pb
_chemical_formula_sum 'Li4 Ga4 Pb2'
_symmetry_space_group_name_H-M 'P 4/m b m'
_symmetry_Int_Tables_number 127
_symmetry_space_group_name_Hall '-P 4 2ab'
_cell_length_a 7.7241
_cell_length_b 7.7241
_cell_length_c 3.1215
_cell_angle_alpha 90.00
_cell_angle_beta 90.00
_cell_angle_gamma 90.00
loop_
_atom_site_label
_atom_site_type_symbol
_atom_site_fract_x
_atom_site_fract_y
_atom_site_fract_z
Li1 Li 0.1804 0.3196 0.0000
Ga1 Ga 0.1164 0.6164 0.5000
Pb1 Pb 0.0000 0.0000 0.5000
```

---

# 4
VASP calculation (SCAN) on a PBEsol-optimized structure of Ba2MnWO6.

Results
- Calculated density: 7.4 Mg/m³
- Raw formation energy: -27.68 eV/f.u.
- Total DFT energy (no corrections): -23.211 eV/atom
- Total magnetic moment: 0.50 μB per atom

Structure (CIF):
```
data_Ba2MnWO6
_chemical_formula_sum 'Ba8 Mn4 W4 O24'
_symmetry_space_group_name_H-M 'F m -3 m'
_symmetry_Int_Tables_number 225
_symmetry_space_group_name_Hall '-F 4 2 3'
_cell_length_a 8.1705
_cell_length_b 8.1705
_cell_length_c 8.1705
_cell_angle_alpha 90.00
_cell_angle_beta 90.00
_cell_angle_gamma 90.00
loop_
_atom_site_label
_atom_site_type_symbol
_atom_site_fract_x
_atom_site_fract_y
_atom_site_fract_z
Ba1 Ba 0.2500 0.2500 0.2500
Mn1 Mn 0.0000 0.0000 0.0000
W1 W 0.0000 0.0000 0.5000
O1 O 0.0000 0.0000 0.2631
```

---

# 5
VASP calculation (SCAN) on a PBEsol-optimized structure of AsOsCl2.

Results
- Calculated density: 6.7 Mg/m³
- Raw formation energy: 1.04 eV/f.u.
- Total DFT energy (no corrections): -26.747 eV/atom
- Total magnetic moment: 0.00 μB per atom

Structure (CIF):
```
data_AsOsCl2
_chemical_formula_sum 'As4 Os4 Cl8'
_symmetry_space_group_name_H-M 'I -4 2 d'
_symmetry_Int_Tables_number 122
_symmetry_space_group_name_Hall 'I -4 2bw'
_cell_length_a 8.4485
_cell_length_b 8.4485
_cell_length_c 4.6881
_cell_angle_alpha 90.00
_cell_angle_beta 90.00
_cell_angle_gamma 90.00
loop_
_atom_site_label
_atom_site_type_symbol
_atom_site_fract_x
_atom_site_fract_y
_atom_site_fract_z
As1 As 0.0000 0.0000 0.0000
Os1 Os 0.0000 0.0000 0.5000
Cl1 Cl 0.1208 0.7500 0.6250
```

---

# 6
VASP calculation (SCAN) on a PBEsol-optimized structure of SbPd3Pb.

Results
- Calculated density: 9.2 Mg/m³
- Raw formation energy: 0.67 eV/f.u.
- Total DFT energy (no corrections): -42.140 eV/atom
- Total magnetic moment: 0.00 μB per atom

Structure (CIF):
```
data_SbPd3Pb
_chemical_formula_sum 'Sb1 Pd3 Pb1'
_symmetry_space_group_name_H-M 'P m -3 m'
_symmetry_Int_Tables_number 221
_symmetry_space_group_name_Hall '-P 4 2 3'
_cell_length_a 4.8844
_cell_length_b 4.8844
_cell_length_c 4.8844
_cell_angle_alpha 90.00
_cell_angle_beta 90.00
_cell_angle_gamma 90.00
loop_
_atom_site_label
_atom_site_type_symbol
_atom_site_fract_x
_atom_site_fract_y
_atom_site_fract_z
Sb1 Sb 0.0000 0.0000 0.0000
Pd1 Pd 0.0000 0.0000 0.5000
Pb1 Pb 0.5000 0.5000 0.5000
```

---

> Among the records above, which one has the highest calculated density?

LiTlW2

---

> Look up the calculated density of the sixth one.

9.2 Mg/m³

---

> Among the records above, which one has the lowest calculated density?

Li2Ga2Pb